PRu2Au: optimized geometry, PBE-GGA.

Energy of formation from the pure elements ... 0.185 eV/atom
Calculated density ... 11.50 g/cm3
Size of the total moment ... 0.3 μB per cell
SG ... P4mm (99)

Geometry as POSCAR:
```
PRu2Au
1.0
-1.261 -2.187 -1.240
2.475 -1.322 -0.187
-1.219 -3.280 7.025
P Ru Au
1 2 1
direct
0.500 0.500 0.805
0.000 0.000 0.990
0.500 0.500 0.221
0.000 0.000 0.484
```

PRuAu2: optimized geometry, PBE-GGA.

Energy of formation from the pure elements ... 0.041 eV/atom
Calculated density ... 12.66 g/cm3
Size of the total moment ... 0.0 μB per cell
SG ... R3m (160)

Geometry as POSCAR:
```
PRuAu2
1.0
-1.676 -1.083 -5.580
-2.319 -4.194 -3.487
-4.738 -1.262 -3.329
P Ru Au
1 1 2
direct
0.524 0.524 0.524
0.224 0.224 0.224
0.996 0.996 0.996
0.767 0.767 0.767
```